DFT (PBE) results for Cu6NiPd2 after structural relaxation.

Lattice parameters (Å, degrees): 3.697 5.818 10.736 144.12 90.00 108.53
Sites, in units of the cell vectors:
Cu1 0.330 0.660 0.498
Ni1 0.000 0.000 0.500
Cu2 0.670 0.340 0.502
Cu3 0.439 0.878 0.824
Cu4 0.897 0.794 0.174
Pd1 0.229 0.458 0.171
Pd2 0.771 0.542 0.829
Cu5 0.561 0.122 0.176
Cu6 0.103 0.206 0.826

Properties
uncorrected energy = -4.579 eV/atom
ΔE_f = -0.47 eV/f.u.
excess energy over the best structure of this formula in the dataset = 0 meV per atom
spin magnetization = 0.000 μB per atom
Fermi-level density of states = 4.6 states/eV/cell